No. 1
Computed, not measured: crystalline RbReSO3 at its relaxed geometry at the GGA-PBE level of DFT.

Unit cell a=9.030 b=7.789 c=8.138 alpha=90.00 beta=116.65 gamma=90.00
Space group P2_1/c (No. 14)
Asymmetric unit:
Rb 0.198 0.135 0.478 [4 per cell]
Re 0.225 0.627 0.496 [4 per cell]
S 0.458 0.737 0.109 [4 per cell]
O 0.064 0.722 0.920 [4 per cell]
O 0.206 0.501 0.309 [4 per cell]
O 0.214 0.009 0.162 [4 per cell]

No. 2
Computed, not measured: crystalline RbSmSO at its relaxed geometry at the GGA-PBE level of DFT.

Unit cell a=5.836 b=5.837 c=11.821 alpha=90.00 beta=103.83 gamma=90.00
Space group P2_1 (No. 4)
Asymmetric unit:
Rb 0.052 0.000 0.106 [2 per cell]
Rb 0.446 0.002 0.893 [2 per cell]
Sm 0.047 0.254 0.595 [2 per cell]
Sm 0.453 0.253 0.404 [2 per cell]
S 0.109 0.500 0.221 [2 per cell]
S 0.392 0.500 0.779 [2 per cell]
O 0.250 0.004 0.500 [2 per cell]
O 0.250 0.504 0.500 [2 per cell]

Properties
The value obtained for the distance to the lowest polymorph of the same formula is 0.020 eV per atom.

No. 3
Computed, not measured: crystalline RbSmSO at its relaxed geometry at the GGA-PBE level of DFT.

Unit cell a=4.219 b=4.219 c=10.006 alpha=90.00 beta=90.00 gamma=90.00
Space group P4/nmm (No. 129, origin choice 2)
Asymmetric unit:
Rb 0.250 0.750 0.000 [2 per cell]
Sm 0.250 0.250 0.398 [2 per cell]
S 0.250 0.250 0.770 [2 per cell]
O 0.250 0.750 0.500 [2 per cell]

Properties
The value obtained for the distance to the lowest polymorph of the same formula is 0.298 eV per atom.

No. 4
Computed, not measured: crystalline RbSmSO at its relaxed geometry at the GGA-PBE level of DFT.

Unit cell a=3.8397 b=3.8397 c=21.6888 alpha=90.00 beta=90.00 gamma=120.00
Space group R3m (No. 160, hexagonal axes)
Asymmetric unit:
Rb 0.0000 0.0000 0.0000 [3 per cell]
Sm 0.0000 0.0000 0.5160 [3 per cell]
S 0.0000 0.0000 0.7708 [3 per cell]
O 0.0000 0.0000 0.2279 [3 per cell]

Properties
The value obtained for the distance to the lowest polymorph of the same formula is 0.081 eV per atom.

No. 5
Computed, not measured: crystalline RbSmSO at its relaxed geometry at the GGA-PBE level of DFT.

Unit cell a=4.536 b=8.366 c=6.673 alpha=90.00 beta=90.00 gamma=90.00
Space group Pmc2_1 (No. 26)
Asymmetric unit:
Rb 0.000 0.192 0.000 [2 per cell]
Sm 0.500 0.372 0.436 [2 per cell]
S 0.000 0.205 0.510 [2 per cell]
O 0.500 0.412 0.115 [2 per cell]

Properties
The value obtained for the distance to the lowest polymorph of the same formula is 0.088 eV per atom.

No. 6
Computed, not measured: crystalline RbSmSO at its relaxed geometry at the GGA-PBE level of DFT.

Unit cell a=7.873 b=7.547 c=6.672 alpha=90.00 beta=104.34 gamma=90.00
Space group P2_1/c (No. 14)
Asymmetric unit:
Rb 0.081 0.244 0.010 [4 per cell]
Sm 0.474 0.627 0.270 [4 per cell]
S 0.257 0.591 0.847 [4 per cell]
O 0.396 0.147 0.879 [4 per cell]

Properties
The value obtained for the distance to the lowest polymorph of the same formula is 0.000 eV per atom.

No. 7
Computed, not measured: crystalline RbSmSO at its relaxed geometry at the GGA-PBE level of DFT.

Unit cell a=8.408 b=9.497 c=5.658 alpha=90.00 beta=90.00 gamma=90.00
Space group Pca2_1 (No. 29)
Asymmetric unit:
Rb 0.116 0.096 0.000 [4 per cell]
Sm 0.064 0.644 0.002 [4 per cell]
S 0.101 0.614 0.502 [4 per cell]
O 0.046 0.165 0.502 [4 per cell]

Properties
The value obtained for the distance to the lowest polymorph of the same formula is 0.196 eV per atom.

No. 8
Computed, not measured: crystalline RbTmSO at its relaxed geometry at the GGA-PBE level of DFT.

Unit cell a=3.6749 b=3.6749 c=14.2266 alpha=90.00 beta=90.00 gamma=120.00
Space group P-3m1 (No. 164)
Asymmetric unit:
Rb 0.3333 0.6667 0.2799 [2 per cell]
Tm 0.0000 0.0000 0.0000 [1 per cell]
Tm 0.0000 0.0000 0.5000 [1 per cell]
S 0.3333 0.6667 0.8888 [2 per cell]
O 0.3333 0.6667 0.5739 [2 per cell]

Properties
The value obtained for the distance to the lowest polymorph of the same formula is 0.118 eV per atom.

No. 9
Computed, not measured: crystalline RbTmSO at its relaxed geometry at the GGA-PBE level of DFT.

Unit cell a=3.6715 b=3.6715 c=14.2607 alpha=90.00 beta=90.00 gamma=120.00
Space group P-6m2 (No. 187)
Asymmetric unit:
Rb 0.0000 0.0000 0.0000 [1 per cell]
Rb 0.3333 0.6667 0.5000 [1 per cell]
Tm 0.6667 0.3333 0.2800 [2 per cell]
S 0.3333 0.6667 0.1679 [2 per cell]
O 0.0000 0.0000 0.3526 [2 per cell]

Properties
The value obtained for the distance to the lowest polymorph of the same formula is 0.112 eV per atom.

No. 10
Computed, not measured: crystalline RbTmSO at its relaxed geometry at the GGA-PBE level of DFT.

Unit cell a=5.643 b=5.644 c=11.763 alpha=90.00 beta=103.71 gamma=90.00
Space group C2 (No. 5)
Asymmetric unit:
Rb 0.190 0.000 0.389 [4 per cell]
Tm 0.206 0.249 0.911 [4 per cell]
S 0.129 0.501 0.267 [4 per cell]
O 0.000 0.498 0.000 [2 per cell]
O 0.000 0.999 0.000 [2 per cell]

Properties
The value obtained for the distance to the lowest polymorph of the same formula is 0.037 eV per atom.

No. 11
Computed, not measured: crystalline Rb2Tm2S3O at its relaxed geometry at the GGA-PBE level of DFT.

Unit cell a=3.8372 b=3.8372 c=14.8563 alpha=90.00 beta=90.00 gamma=120.00
Space group P3m1 (No. 156)
Asymmetric unit:
Rb 0.0000 0.0000 0.0000 [1 per cell]
Rb 0.3333 0.6667 0.4727 [1 per cell]
Tm 0.6667 0.3333 0.2625 [1 per cell]
Tm 0.6667 0.3333 0.7345 [1 per cell]
S 0.0000 0.0000 0.6309 [1 per cell]
S 0.3333 0.6667 0.1579 [1 per cell]
S 0.3333 0.6667 0.8361 [1 per cell]
O 0.0000 0.0000 0.3278 [1 per cell]

No. 12
Computed, not measured: crystalline RbTmSO at its relaxed geometry at the GGA-PBE level of DFT.

Unit cell a=3.6707 b=3.6707 c=14.2657 alpha=90.00 beta=90.00 gamma=120.00
Space group P6_3mc (No. 186)
Asymmetric unit:
Rb 0.3333 0.6667 0.0000 [2 per cell]
Tm 0.0000 0.0000 0.2763 [2 per cell]
S 0.3333 0.6667 0.6618 [2 per cell]
O 0.3333 0.6667 0.3444 [2 per cell]

Properties
The value obtained for the distance to the lowest polymorph of the same formula is 0.102 eV per atom.

No. 13
Computed, not measured: crystalline RbTmSO at its relaxed geometry at the GGA-PBE level of DFT.

Unit cell a=4.128 b=4.128 c=9.789 alpha=90.00 beta=90.00 gamma=90.00
Space group P4/nmm (No. 129, origin choice 2)
Asymmetric unit:
Rb 0.250 0.750 0.000 [2 per cell]
Tm 0.250 0.250 0.408 [2 per cell]
S 0.250 0.250 0.763 [2 per cell]
O 0.250 0.750 0.500 [2 per cell]

Properties
The value obtained for the distance to the lowest polymorph of the same formula is 0.399 eV per atom.

No. 14
Computed, not measured: crystalline RbTmSO at its relaxed geometry at the GGA-PBE level of DFT.

Unit cell a=4.313 b=8.254 c=6.558 alpha=90.00 beta=90.00 gamma=90.00
Space group Pmc2_1 (No. 26)
Asymmetric unit:
Rb 0.000 0.192 0.000 [2 per cell]
Tm 0.500 0.377 0.438 [2 per cell]
S 0.000 0.208 0.508 [2 per cell]
O 0.500 0.420 0.125 [2 per cell]

Properties
The value obtained for the distance to the lowest polymorph of the same formula is 0.071 eV per atom.

No. 15
Computed, not measured: crystalline RbTmSO at its relaxed geometry at the GGA-PBE level of DFT.

Unit cell a=7.822 b=7.225 c=6.433 alpha=90.00 beta=104.08 gamma=90.00
Space group P2_1/c (No. 14)
Asymmetric unit:
Rb 0.081 0.241 0.007 [4 per cell]
Tm 0.479 0.627 0.274 [4 per cell]
S 0.265 0.595 0.853 [4 per cell]
O 0.398 0.145 0.877 [4 per cell]

Properties
The value obtained for the distance to the lowest polymorph of the same formula is 0.000 eV per atom.

No. 16
Computed, not measured: crystalline RbTmSO at its relaxed geometry at the GGA-PBE level of DFT.

Unit cell a=3.6825 b=3.6825 c=21.5140 alpha=90.00 beta=90.00 gamma=120.00
Space group R3m (No. 160, hexagonal axes)
Asymmetric unit:
Rb 0.0000 0.0000 0.0000 [3 per cell]
Tm 0.0000 0.0000 0.4837 [3 per cell]
S 0.0000 0.0000 0.2260 [3 per cell]
O 0.0000 0.0000 0.7722 [3 per cell]

Properties
The value obtained for the distance to the lowest polymorph of the same formula is 0.100 eV per atom.

No. 17
Computed, not measured: crystalline RbTmSO at its relaxed geometry at the GGA-PBE level of DFT.

Unit cell a=9.195 b=8.364 c=5.458 alpha=90.00 beta=90.00 gamma=90.00
Space group Pbcm (No. 57)
Asymmetric unit:
Rb 0.100 0.119 0.250 [4 per cell]
Tm 0.362 0.570 0.250 [4 per cell]
S 0.393 0.605 0.750 [4 per cell]
O 0.173 0.036 0.750 [4 per cell]

Properties
The value obtained for the distance to the lowest polymorph of the same formula is 0.226 eV per atom.

No. 18
Computed, not measured: crystalline Rb2TmScO4 at its relaxed geometry at the GGA-PBE level of DFT.

Unit cell a=3.3395 b=3.3395 c=12.7874 alpha=90.00 beta=90.00 gamma=120.00
Space group P-3m1 (No. 164)
Asymmetric unit:
Rb 0.3333 0.6667 0.2461 [2 per cell]
Tm 0.0000 0.0000 0.5000 [1 per cell]
Sc 0.0000 0.0000 0.0000 [1 per cell]
O 0.3333 0.6667 0.5909 [2 per cell]
O 0.3333 0.6667 0.9176 [2 per cell]

No. 19
Computed, not measured: crystalline RbSmSeO at its relaxed geometry at the GGA-PBE level of DFT.

Unit cell a=8.117 b=7.659 c=6.769 alpha=90.00 beta=102.26 gamma=90.00
Space group P2_1/c (No. 14)
Asymmetric unit:
Rb 0.089 0.228 0.499 [4 per cell]
Sm 0.474 0.628 0.777 [4 per cell]
Se 0.249 0.590 0.356 [4 per cell]
O 0.408 0.148 0.384 [4 per cell]

Properties
The value obtained for the distance to the lowest polymorph of the same formula is 0.000 eV per atom.

No. 20
Computed, not measured: crystalline RbSmSeO at its relaxed geometry at the GGA-PBE level of DFT.

Unit cell a=3.8898 b=3.8898 c=22.3022 alpha=90.00 beta=90.00 gamma=120.00
Space group R3m (No. 160, hexagonal axes)
Asymmetric unit:
Rb 0.0000 0.0000 0.0000 [3 per cell]
Sm 0.0000 0.0000 0.4791 [3 per cell]
Se 0.0000 0.0000 0.2280 [3 per cell]
O 0.0000 0.0000 0.7698 [3 per cell]

Properties
The value obtained for the distance to the lowest polymorph of the same formula is 0.138 eV per atom.

No. 21
Computed, not measured: crystalline RbSmSeO at its relaxed geometry at the GGA-PBE level of DFT.

Unit cell a=4.279 b=4.279 c=10.311 alpha=90.00 beta=90.00 gamma=90.00
Space group P4/nmm (No. 129, origin choice 2)
Asymmetric unit:
Rb 0.250 0.750 0.000 [2 per cell]
Sm 0.250 0.250 0.404 [2 per cell]
Se 0.250 0.250 0.764 [2 per cell]
O 0.250 0.750 0.500 [2 per cell]

Properties
The value obtained for the distance to the lowest polymorph of the same formula is 0.248 eV per atom.

| no. | calculated density (g cm⁻³) | raw total energy (eV/atom) |
| --- | --- | --- |
| 1 | 4.567 | -6.898 |
| 2 | 4.822 | -5.899 |
| 3 | 5.294 | -5.621 |
| 4 | 5.107 | -5.838 |
| 5 | 3.723 | -5.830 |
| 6 | 4.910 | -5.919 |
| 7 | 4.173 | -5.723 |
| 8 | 6.037 | -5.810 |
| 9 | 6.034 | -5.816 |
| 10 | 5.520 | -5.891 |
| 11 | 5.443 | -5.516 |
| 12 | 6.035 | -5.826 |
| 13 | 6.021 | -5.529 |
| 14 | 4.302 | -5.857 |
| 15 | 5.697 | -5.928 |
| 16 | 5.964 | -5.828 |
| 17 | 4.786 | -5.702 |
| 18 | 6.034 | -6.752 |
| 19 | 5.343 | -5.718 |
| 20 | 5.639 | -5.580 |
| 21 | 5.819 | -5.470 |